Record 1
Material: Pm2DyY4
Method: DFT, PBE-GGA
State: relaxed

```
Pm2DyY4
1.0
-1.698 -2.998 8.263
-0.388 -7.890 -4.197
6.437 5.892 1.960
Y Pm Dy
8 4 2
Direct
0.372 0.140 0.767
0.878 0.144 0.268
0.376 0.696 0.323
0.280 0.010 0.227
0.970 0.696 0.229
0.785 0.012 0.729
0.465 0.695 0.727
0.874 0.697 0.820
0.625 0.367 0.242
0.653 0.259 0.605
0.597 0.702 0.106
0.125 0.372 0.747
0.098 0.703 0.605
0.152 0.257 0.105
```

formation energy	0.1780	eV per atom
spin magnetization	0.00	μB per cell

---

Record 2
Material: Pm5Dy4Y
Method: DFT, PBE-GGA
State: relaxed

```
Pm5Dy4Y
1.0
-2.839 2.121 0.399
-6.936 -9.162 -0.697
0.180 -4.200 7.670
Dy Pm Y
4 5 1
Direct
0.084 0.709 0.167
0.604 0.204 0.209
0.396 0.796 0.791
0.916 0.291 0.833
0.811 0.077 0.622
0.189 0.923 0.378
0.210 0.384 0.420
0.500 0.500 0.000
0.790 0.616 0.580
0.500 0.000 0.000
```

formation energy	0.0363	eV per atom
spin magnetization	0.00	μB per cell

---

Record 3
Material: Pm3DyY4
Method: DFT, PBE-GGA
State: relaxed

```
Pm3DyY4
1.0
-2.332 -2.485 1.180
2.406 -4.572 6.190
-1.561 9.215 5.303
Y Dy Pm
4 1 3
Direct
0.000 0.751 0.752
0.497 0.751 0.248
0.000 0.249 0.248
0.503 0.249 0.752
0.500 0.000 0.000
0.000 0.500 0.000
0.000 0.000 0.500
0.500 0.500 0.500
```

formation energy	0.0181	eV per atom
spin magnetization	0.00	μB per cell

---

Record 4
Material: Pm4Dy3Y5
Method: DFT, PBE-GGA
State: relaxed

```
Pm4Dy3Y5
1.0
-5.904 0.123 -0.608
-2.144 -0.766 -8.323
-3.603 -7.878 4.405
Dy Pm Y
3 4 5
Direct
0.523 0.688 0.265
0.477 0.312 0.735
0.000 0.500 0.500
0.834 0.950 0.382
0.166 0.050 0.618
0.862 0.221 0.054
0.138 0.779 0.946
0.369 0.059 0.204
0.631 0.941 0.796
0.213 0.458 0.115
0.787 0.542 0.885
0.500 0.500 0.500
```

formation energy	0.2240	eV per atom
spin magnetization	0.56	μB per cell

---

Record 5
Material: Pm2DyY
Method: DFT, PBE-GGA
State: relaxed

```
Pm2DyY
1.0
3.623 0.000 0.000
1.812 3.138 0.000
1.812 1.046 11.671
Dy Pm Y
1 2 1
Direct
0.667 0.667 0.999
0.083 0.083 0.751
0.250 0.250 0.250
0.500 0.500 0.500
```

formation energy	0.0134	eV per atom
spin magnetization	0.00	μB per cell

---

Record 6
Material: Pm2Dy6Y3
Method: DFT, PBE-GGA
State: relaxed

```
Pm2Dy6Y3
1.0
-4.803 1.164 3.631
-5.692 -0.176 -2.295
-2.338 -10.794 3.864
Dy Y Pm
6 3 2
Direct
0.250 0.000 0.249
0.750 0.000 0.751
0.083 0.334 0.751
0.584 0.334 0.249
0.416 0.666 0.751
0.917 0.666 0.249
0.335 0.330 0.000
0.665 0.670 0.000
0.000 0.000 0.000
0.833 0.333 0.500
0.167 0.667 0.500
```

formation energy	0.1874	eV per atom
spin magnetization	0.00	μB per cell

---

Record 7
Material: Pm2Dy3Y6
Method: DFT, PBE-GGA
State: relaxed

```
Pm2Dy3Y6
1.0
5.887 0.000 1.760
2.944 5.330 0.880
-1.320 0.000 11.639
Y Dy Pm
6 3 2
Direct
0.917 0.667 0.248
0.749 0.000 0.752
0.416 0.667 0.752
0.251 0.000 0.248
0.584 0.333 0.248
0.083 0.333 0.752
0.665 0.670 0.000
0.335 0.330 0.000
0.000 0.000 0.000
0.833 0.333 0.500
0.167 0.667 0.500
```

formation energy	0.1894	eV per atom
spin magnetization	0.00	μB per cell

---

Record 8
Material: PmDy2Y2
Method: DFT, PBE-GGA
State: relaxed

```
PmDy2Y2
1.0
9.379 0.000 0.000
0.000 9.379 0.000
0.000 0.000 3.756
Dy Y Pm
4 4 2
Direct
0.374 0.126 0.000
0.874 0.374 0.000
0.126 0.626 0.000
0.626 0.874 0.000
0.172 0.328 0.500
0.828 0.672 0.500
0.328 0.828 0.500
0.672 0.172 0.500
0.000 0.000 0.000
0.500 0.500 0.000
```

formation energy	0.0850	eV per atom
spin magnetization	0.00	μB per cell

---

| no. | energy (eV per atom) | DOS at the Fermi energy (states/eV/f.u.) | energy relative to the lowest polymorph listed for this composition (eV per atom) |
| --- | --- | --- | --- |
| 1 | -5.5305 | 8.74 | 0.137 |
| 2 | -4.8262 | 13.74 | 0.000 |
| 3 | -5.5706 | 11.89 | 0.003 |
| 4 | -5.2035 | 19.93 | 0.208 |
| 5 | -5.1284 | 5.87 | 0.002 |
| 6 | -4.9495 | 18.59 | 0.000 |
| 7 | -5.4554 | 19.18 | 0.000 |
| 8 | -5.2916 | 5.16 | 0.000 |